Entry 1:
# Ce2Ge4PdPt3

Ce2Ge4PdPt3 after structural relaxation (PBE-GGA, Alexandria).

DOS(E_F): 12.93 states/eV per cell
total energy: -6.2605 eV per atom
energy relative to the elements: -895 meV/atom

a = 4.3802 Å, b = 4.3802 Å, c = 10.0148 Å
α = 90.00°, β = 90.00°, γ = 90.00°
With the nearest neighbours (Å) after each atom.
Element x y z (fractional)
Ce1 0.0000 0.5000 0.2489  8 Ge 3.32-3.33, 2 Pd 3.33, 6 Pt 3.33-3.34
Ce2 0.5000 0.0000 0.7511  8 Ge 3.32-3.33, 2 Pd 3.33, 6 Pt 3.33-3.34
Ge1 0.0000 0.0000 0.0000  4 Pt 2.52
Ge2 0.0000 0.5000 0.6302  3 Pt 2.46-2.55, 2 Pd 2.55
Ge3 0.5000 0.0000 0.3698  3 Pt 2.46-2.55, 2 Pd 2.55
Ge4 0.5000 0.5000 0.0000  4 Pt 2.52
Pd1 0.0000 0.0000 0.5000  4 Ge 2.55
Pt1 0.0000 0.5000 0.8756  5 Ge 2.46-2.52
Pt2 0.5000 0.0000 0.1244  5 Ge 2.46-2.52
Pt3 0.5000 0.5000 0.5000  4 Ge 2.55

=====

Entry 2:
# LaOs5

LaOs5 after structural relaxation (PBE-GGA, Alexandria).

DOS(E_F): 6.08 states/eV per cell
total energy: -9.7802 eV per atom
energy relative to the elements: 399 meV/atom

a = 4.3649 Å, b = 8.6639 Å, c = 8.6639 Å
α = 18.65°, β = 90.00°, γ = 90.00°
With the nearest neighbours (Å) after each atom.
Element x y z (fractional)
La1 0.0000 0.0000 0.0000  2 La 2.81, 4 Os 3.10
Os1 0.0000 0.3116 0.3116  10 Os 2.67-2.81
Os2 0.0000 0.6759 0.6759  10 Os 2.69-2.81
Os3 0.5000 0.1341 0.1341  8 Os 2.69-2.81
Os4 0.5000 0.4010 0.4010  6 Os 2.67-2.81
Os5 0.5000 0.7682 0.7682  12 Os 2.67-2.81

=====

Entry 3:
# CsLiTlHg2

CsLiTlHg2 after structural relaxation (PBE-GGA, Alexandria).

DOS(E_F): 3.00 states/eV per cell
polymorph energy (0 for the lowest one): 0 meV/atom
total energy: -1.2801 eV per atom
energy relative to the elements: -133 meV/atom

a = 5.5273 Å, b = 5.5273 Å, c = 5.4507 Å
α = 90.00°, β = 90.00°, γ = 90.00°
With the nearest neighbours (Å) after each atom.
Element x y z (fractional)
Cs1 0.0000 0.0000 0.0000  8 Hg 3.88, 4 Tl 3.91
Li1 0.5000 0.5000 0.5000  2 Tl 2.73, 4 Hg 2.76
Tl1 0.5000 0.5000 0.0000  2 Li 2.73
Hg1 0.0000 0.5000 0.5000  2 Li 2.76
Hg2 0.5000 0.0000 0.5000  2 Li 2.76

=====

Entry 4:
# Tb6Pm3Dy2Zr

Tb6Pm3Dy2Zr after structural relaxation (PBE-GGA, Alexandria).

DOS(E_F): 14.92 states/eV per cell
total energy: -4.9379 eV per atom
energy relative to the elements: 44 meV/atom

a = 6.1378 Å, b = 6.1378 Å, c = 11.7344 Å
α = 94.97°, β = 94.97°, γ = 119.92°
With the nearest neighbours (Å) after each atom.
Element x y z (fractional)
Tb1 0.0807 0.4074 0.2421  1 Zr 3.44, 6 Tb 3.47-3.58, 2 Dy 3.48, 3 Pm 3.60-3.64
Tb2 0.2457 0.2457 0.7581  1 Zr 3.44, 6 Tb 3.47-3.58, 2 Dy 3.48, 3 Pm 3.60-3.64
Tb3 0.4074 0.0807 0.2421  1 Zr 3.44, 6 Tb 3.47-3.58, 2 Dy 3.48, 3 Pm 3.60-3.64
Tb4 0.5926 0.9193 0.7579  1 Zr 3.44, 6 Tb 3.47-3.58, 2 Dy 3.48, 3 Pm 3.60-3.64
Tb5 0.7543 0.7543 0.2419  1 Zr 3.44, 6 Tb 3.47-3.58, 2 Dy 3.48, 3 Pm 3.60-3.64
Tb6 0.9193 0.5926 0.7579  1 Zr 3.44, 6 Tb 3.47-3.58, 2 Dy 3.48, 3 Pm 3.60-3.64
Pm1 0.1662 0.8338 0.5000  6 Pm 3.53-3.55, 6 Tb 3.60-3.64
Pm2 0.5000 0.5000 0.5000  6 Pm 3.54-3.55, 6 Tb 3.61-3.64
Pm3 0.8338 0.1662 0.5000  6 Pm 3.53-3.55, 6 Tb 3.60-3.64
Dy1 0.3333 0.6667 0.0000  6 Tb 3.48, 3 Zr 3.54-3.55, 3 Dy 3.54-3.55
Dy2 0.6667 0.3333 0.0000  6 Tb 3.48, 3 Zr 3.54-3.55, 3 Dy 3.54-3.55
Zr1 0.0000 0.0000 0.0000  6 Tb 3.44, 6 Dy 3.54-3.55

=====

Entry 5:
# Te6MoW3S2

Te6MoW3S2 after structural relaxation (PBE-GGA, Alexandria).

DOS(E_F): 2.50 states/eV per cell
polymorph energy (0 for the lowest one): 33 meV/atom
total energy: -6.6208 eV per atom

a = 3.4606 Å, b = 3.4606 Å, c = 32.0731 Å
α = 90.00°, β = 90.00°, γ = 120.00°
With the nearest neighbours (Å) after each atom.
Element x y z (fractional)
Te1 0.0000 0.0000 0.0000  3 W 2.73
Te2 0.0000 0.0000 0.1158  3 W 2.73
Te3 0.0000 0.0000 0.4821  3 W 2.73
Te4 0.0000 0.0000 0.5979  3 W 2.73
Te5 0.3333 0.6667 0.2416  3 W 2.73
Te6 0.3333 0.6667 0.3574  3 W 2.73
Mo1 0.0000 0.0000 0.8353  6 S 2.49
W1 0.0000 0.0000 0.2995  6 Te 2.73
W2 0.3333 0.6667 0.0579  6 Te 2.73
W3 0.3333 0.6667 0.5401  6 Te 2.73
S1 0.3333 0.6667 0.7890  3 Mo 2.49
S2 0.3333 0.6667 0.8816  3 Mo 2.49